RbBa3, PBEsol geometry, DFT meta-GGA SCAN; ΔE to the lowest computed polymorph = 0 meV per atom; symmetry = I4/mmm; energy of formation = 133 meV per atom; DOS at the Fermi energy = 4.88 states/eV/f.u.
1.0
-3.140 3.140 6.531
3.140 -3.140 6.531
3.140 3.140 -6.531
Rb Ba
1 3
Direct
0.000 0.000 0.000
0.250 0.750 0.500
0.500 0.500 0.000
0.750 0.250 0.500



SrYTlOs2, PBEsol geometry, DFT meta-GGA SCAN; symmetry = P4/mmm; energy of formation = 1545 meV per atom; DOS at the Fermi energy = 4.42 states/eV/f.u.
1.0
5.062 0.000 0.000
0.000 5.062 0.000
0.000 0.000 5.267
Sr Y Tl Os
1 1 1 2
Direct
0.000 0.000 0.000
0.500 0.500 0.000
0.500 0.500 0.500
0.000 0.500 0.500
0.500 0.000 0.500



CdSiBiMo2, PBEsol geometry, DFT meta-GGA SCAN; uncorrected formation energy = 958.0 meV per atom; symmetry = P4/mmm; DOS at the Fermi energy = 2.62 states/eV/f.u.
1.0
4.666 0.000 0.000
0.000 4.666 0.000
0.000 0.000 4.742
Cd Si Bi Mo
1 1 1 2
Direct
0.000 0.000 0.000
0.000 0.000 0.500
0.500 0.500 0.000
0.000 0.500 0.500
0.500 0.000 0.500



LiBePd3, PBEsol geometry, DFT meta-GGA SCAN; symmetry = Pm-3m; energy of formation = -234 meV per atom; DOS at the Fermi energy = 1.28 states/eV/f.u.
1.0
4.180 0.000 0.000
0.000 4.180 0.000
0.000 0.000 4.180
Li Be Pd
1 1 3
Direct
0.000 0.000 0.000
0.500 0.500 0.500
0.000 0.500 0.500
0.500 0.000 0.500
0.500 0.500 0.000



CdInAg2, PBEsol geometry, DFT meta-GGA SCAN; symmetry = Cmmm; energy of formation = 3 meV per atom; DOS at the Fermi energy = 1.17 states/eV/f.u.
1.0
3.068 -3.895 0.000
3.068 3.895 0.000
0.000 0.000 3.119
Cd In Ag
1 1 2
Direct
0.000 0.000 0.000
0.500 0.500 0.000
0.000 0.500 0.500
0.500 0.000 0.500



RbSeF2, PBEsol geometry, DFT meta-GGA SCAN; uncorrected formation energy = -1246.8 meV per atom; symmetry = Fm-3m
1.0
0.000 3.315 3.315
3.315 0.000 3.315
3.315 3.315 0.000
Rb Se F
1 1 2
Direct
0.000 0.000 0.000
0.500 0.500 0.500
0.250 0.250 0.250
0.750 0.750 0.750



BeCrBr2, PBEsol geometry, DFT meta-GGA SCAN; uncorrected formation energy = -231.5 meV per atom; ΔE to the lowest computed polymorph = 0 meV per atom; symmetry = Cmm2; DOS at the Fermi energy = 0.35 states/eV/f.u.
1.0
1.656 -3.114 0.000
1.656 3.114 0.000
0.000 0.000 8.582
Be Cr Br
1 1 2
Direct
0.000 0.000 0.000
0.500 0.500 0.773
0.000 0.000 0.565
0.500 0.500 0.165



Pd, PBEsol geometry, DFT meta-GGA SCAN; ΔE to the lowest computed polymorph = 33 meV per atom; symmetry = P6_3/mmc; energy of formation = 33 meV per atom; DOS at the Fermi energy = 1.42 states/eV/f.u.
1.0
2.725 0.000 0.000
-1.362 2.360 0.000
0.000 0.000 4.535
Pd
2
Direct
0.333 0.667 0.250
0.667 0.333 0.750



BeIOF2, PBEsol geometry, DFT meta-GGA SCAN; uncorrected formation energy = 68.8 meV per atom; symmetry = P4/mmm; DOS at the Fermi energy = 1.50 states/eV/f.u.
1.0
4.731 0.000 0.000
0.000 4.731 0.000
0.000 0.000 3.986
Be I O F
1 1 1 2
Direct
0.000 0.000 0.000
0.500 0.500 0.500
0.500 0.500 0.000
0.000 0.500 0.500
0.500 0.000 0.500



Si2RuAu, PBEsol geometry, DFT meta-GGA SCAN; uncorrected formation energy = 144.9 meV per atom; ΔE to the lowest computed polymorph = 420 meV per atom; symmetry = I-42d; DOS at the Fermi energy = 1.62 states/eV/f.u.
1.0
-2.701 2.701 5.423
2.701 -2.701 5.423
2.701 2.701 -5.423
Si Ru Au
4 2 2
Direct
0.100 0.625 0.975
0.375 0.350 0.475
0.650 0.125 0.025
0.875 0.900 0.525
0.000 0.000 0.000
0.750 0.250 0.500
0.250 0.750 0.500
0.500 0.500 0.000



LiBe2W, PBEsol geometry, DFT meta-GGA SCAN; ΔE to the lowest computed polymorph = 0 meV per atom; symmetry = Pmm2; energy of formation = 215 meV per atom; DOS at the Fermi energy = 2.26 states/eV/f.u.
1.0
2.542 0.000 0.000
0.000 4.280 0.000
0.000 0.000 4.281
Li Be W
1 2 1
Direct
0.000 0.000 0.000
0.500 0.000 0.500
0.500 0.500 0.995
0.000 0.500 0.496



B2RuAu, PBEsol geometry, DFT meta-GGA SCAN; ΔE to the lowest computed polymorph = 0 meV per atom; symmetry = I-42d; energy of formation = 454 meV per atom; DOS at the Fermi energy = 1.88 states/eV/f.u.
1.0
-2.409 2.409 4.663
2.409 -2.409 4.663
2.409 2.409 -4.663
B Ru Au
4 2 2
Direct
0.099 0.625 0.974
0.375 0.349 0.474
0.651 0.125 0.026
0.875 0.901 0.526
0.000 0.000 0.000
0.750 0.250 0.500
0.250 0.750 0.500
0.500 0.500 0.000



CaLaAl4, PBEsol geometry, DFT meta-GGA SCAN; symmetry = F-43m; energy of formation = -420 meV per atom; DOS at the Fermi energy = 3.16 states/eV/f.u.
1.0
0.000 4.003 4.003
4.003 0.000 4.003
4.003 4.003 0.000
Ca La Al
1 1 4
Direct
0.000 0.000 0.000
0.250 0.250 0.250
0.126 0.625 0.625
0.625 0.126 0.625
0.625 0.625 0.126
0.625 0.625 0.625



Uncorrected energy readings, ordered: -1.2757 -1.9000 -1.3523 -0.7808 -1.1624 -0.4859 -0.5750 -1.2032 -0.3974 -1.1340 -0.7343 -1.0751 -0.5286 hartree per atom